Record 1
Density functional theory data (meta-GGA SCAN) for a PBEsol-optimized structure of Fe2W.

Density of states at the Fermi level (states/eV/atom): 1.0546
E_tot (eV/atom): -35.20

Cell lengths 4.6428, 4.6428, 4.6428 Å; angles 60.00, 60.00, 60.00 degrees
Element x y z (fractional)
Fe  0.1250  0.6250  0.1250
Fe  0.6250  0.1250  0.1250
W  0.5000  0.5000  0.5000
W  0.7500  0.7500  0.7500
Fe  0.1250  0.1250  0.1250
Fe  0.1250  0.1250  0.6250



Record 2
Density functional theory data (meta-GGA SCAN) for a PBEsol-optimized structure of CaZnAg3.

Density of states at the Fermi level (states/eV/atom): 0.5914
E_tot (eV/atom): -22.36

Cell lengths 5.2881, 5.2881, 5.2881 Å; angles 90.00, 90.00, 90.00 degrees
Element x y z (fractional)
Zn  0.5000  0.5000  0.5000
Ag  0.0000  0.5000  0.0000
Ag  0.0000  0.0000  0.5000
Ag  0.5000  0.0000  0.0000
Ca  0.0000  0.0000  0.0000



Record 3
Density functional theory data (meta-GGA SCAN) for a PBEsol-optimized structure of CdAg2Hg.

Density of states at the Fermi level (states/eV/atom): 0.2786
E_tot (eV/atom): -40.33

Cell lengths 4.2634, 4.0137, 4.2799 Å; angles 90.00, 90.00, 90.00 degrees
Element x y z (fractional)
Ag  0.0000  0.0000  0.0000
Ag  0.5000  0.0000  0.5000
Cd  0.5000  0.5000  0.0000
Hg  0.0000  0.5000  0.5000



The lowest E_tot belongs to which entry?
CdAg2Hg



Number 1 is which compound?
Fe2W



Number 3 is which compound?
CdAg2Hg